Here is a geometry-optimized RbTi2MnPb structure from the Alexandria database. Energies are from PBE.

- DFT formation energy: 254 kJ per mole of atoms
- VASP energy: -3.29 eV/atom
- Space-group type: P4/mmm (123)
- Total magnetization: 1.5 μB/cell

Structure (extended XYZ):
```
5
Lattice="4.680 0.000 0.000 0.000 4.680 0.000 0.000 0.000 5.742" Properties=species:S:1:pos:R:3 pbc="T T T"
Rb 0.000 0.000 0.000
Ti 0.000 2.340 0.000
Ti 2.340 0.000 0.000
Mn 2.340 2.340 2.871
Pb 0.000 0.000 2.871
```